Material: Pm5In12Bi3
Method: DFT, GGA-PBE
State: relaxed

a b c (Å): 18.234 18.234 18.234
angles (deg): 90.00 90.00 90.00
Space group Ia-3d (No. 230)
One atom of each set of equivalent atoms:
Pm1 0.000 0.000 0.000 (multiplicity 16)
Pm2 0.000 0.250 0.375 (multiplicity 24)
In1 0.003 0.081 0.651 (multiplicity 96)
Bi1 0.000 0.250 0.125 (multiplicity 24)

Results
The magnetization comes out at 0.0 Bohr magnetons per cell. The calculation puts the density of states at the Fermi level at 119.8 states/eV/cell. Its calculated formation energy is 195.1 meV/atom.

Material: PmIn2Bi2
Method: DFT, GGA-PBE
State: relaxed

a b c (Å): 4.625 28.206 4.583
angles (deg): 90.00 90.00 90.00
Space group Cmcm (No. 63)
One atom of each set of equivalent atoms:
Pm1 0.000 0.159 0.250 (multiplicity 4)
In1 0.000 0.047 0.750 (multiplicity 4)
In2 0.000 0.452 0.750 (multiplicity 4)
Bi1 0.000 0.250 0.750 (multiplicity 4)
Bi2 0.000 0.363 0.250 (multiplicity 4)

Results
The magnetization comes out at 0.0 Bohr magnetons per cell. The calculation puts the density of states at the Fermi level at 6.8 states/eV/cell. Its calculated formation energy is -357.2 meV/atom.

Material: Pm2In3Bi3
Method: DFT, GGA-PBE
State: relaxed

a b c (Å): 4.788 4.974 9.681
angles (deg): 90.00 90.00 90.00
Space group Pmmm (No. 47)
One atom of each set of equivalent atoms:
Pm1 0.000 0.000 0.249 (multiplicity 2)
In1 0.000 0.500 0.500 (multiplicity 1)
In2 0.500 0.500 0.260 (multiplicity 2)
Bi1 0.000 0.500 0.000 (multiplicity 1)
Bi2 0.500 0.000 0.000 (multiplicity 1)
Bi3 0.500 0.000 0.500 (multiplicity 1)

Results
The magnetization comes out at 0.0 Bohr magnetons per cell. The calculation puts the density of states at the Fermi level at 4.2 states/eV/cell. Its calculated formation energy is -430.7 meV/atom.

Material: PmPrInBi
Method: DFT, GGA-PBE
State: relaxed

a b c (Å): 7.883 7.883 7.883
angles (deg): 90.00 90.00 90.00
Space group F-43m (No. 216)
One atom of each set of equivalent atoms:
Pm1 0.000 0.000 0.000 (multiplicity 4)
Pr1 0.000 0.000 0.500 (multiplicity 4)
In1 0.250 0.250 0.250 (multiplicity 4)
Bi1 0.250 0.250 0.750 (multiplicity 4)

Results
The magnetization comes out at 0.0 Bohr magnetons per cell. The calculation puts the density of states at the Fermi level at 19.1 states/eV/cell. Its calculated formation energy is -505.4 meV/atom.